(1)
The following is a PBE calculation of a relaxed structure of PmYPd, from the Alexandria database.

The volume is 83.4 Å³/f.u. The formation energy is -51.53 kJ per mole of atoms. The calculation puts the calculated total energy at -72.04 eV for the cell shown. Its distance to the lowest polymorph of the same formula is 0.040 eV per atom.

The space group is Pnma (No. 62) and the conventional cell measures 5.8302, 4.1613 and 13.7585 Å, with angles of 90.00, 90.00 and 90.00 degrees. Symmetry generates all atoms from Pm at (0.1438, 0.2500, 0.1727), Y at (0.1402, 0.7500, 0.4030) and Pd at (0.1578, 0.7500, 0.0198).

---

(2)
The following is a PBE calculation of a relaxed structure of Er2ScBe, from the Alexandria database.

The volume is 104.4 Å³/f.u. The formation energy is 63.55 kJ per mole of atoms. The calculation puts the calculated total energy at -49.65 eV for the cell shown. Its distance to the lowest polymorph of the same formula is 0.595 eV per atom.

The space group is R-3m (No. 166, hexagonal axes) and the conventional cell measures 3.3030, 3.3030 and 33.1364 Å, with angles of 90.00, 90.00 and 120.00 degrees. Symmetry generates all atoms from Er at (0.0000, 0.0000, 0.0864), Sc at (0.0000, 0.0000, 0.5000) and Be at (0.0000, 0.0000, 0.0000).

---

(3)
The following is a PBE calculation of a relaxed structure of TiNb3, from the Alexandria database.

The volume is 72.5 Å³/f.u. The formation energy is 10.11 kJ per mole of atoms. The calculation puts the calculated total energy at -75.37 eV for the cell shown. Its distance to the lowest polymorph of the same formula is 0.094 eV per atom.

The space group is I4/mmm (No. 139) and the conventional cell measures 3.8696, 3.8696 and 9.6897 Å, with angles of 90.00, 90.00 and 90.00 degrees. Symmetry generates all atoms from Ti at (0.0000, 0.0000, 0.0000), Nb at (0.0000, 0.0000, 0.5000) and Nb at (0.0000, 0.5000, 0.2500).

---

(4)
The following is a PBE calculation of a relaxed structure of CsTl8Cd2, from the Alexandria database.

The volume is 371.1 Å³/f.u. The formation energy is 0.56 kJ per mole of atoms. The calculation puts the calculated total energy at -43.10 eV for the cell shown. Its distance to the lowest polymorph of the same formula is 0.000 eV per atom.

The space group is C2/m (No. 12) and the conventional cell measures 14.0719, 7.1936 and 7.3527 Å, with angles of 90.00, 94.33 and 90.00 degrees. Symmetry generates all atoms from Cs at (0.0000, 0.0000, 0.0000), Tl at (0.0111, 0.5000, 0.7833), Tl at (0.1199, 0.2251, 0.4819), Tl at (0.2334, 0.5000, 0.1801) and Cd at (0.2332, 0.5000, 0.7615).

---

(5)
The following is a PBE calculation of a relaxed structure of CaCI2, from the Alexandria database.

The volume is 135.0 Å³/f.u. The calculation puts the uncorrected formation energy at 0.186 eV/atom. The calculation puts the calculated total energy at -27.17 eV for the cell shown. Its distance to the lowest polymorph of the same formula is 0.866 eV per atom.

The space group is Cm (No. 8) and the conventional cell measures 17.2347, 3.9840 and 3.9370 Å, with angles of 90.00, 93.18 and 90.00 degrees. Symmetry generates all atoms from Ca at (0.0000, 0.0000, 0.0000), C at (0.4081, 0.5000, 0.4778), I at (0.0961, 0.5000, 0.5233) and I at (0.3471, 0.0000, 0.4617).

---

(6)
The following is a PBE calculation of a relaxed structure of BaHfGa3, from the Alexandria database.

The volume is 168.3 Å³/f.u. The formation energy is 144.43 kJ per mole of atoms. The calculation puts the calculated total energy at -13.47 eV for the cell shown. Its distance to the lowest polymorph of the same formula is 1.590 eV per atom.

The space group is Pm-3m (No. 221) and the conventional cell measures 5.5212, 5.5212 and 5.5212 Å, with angles of 90.00, 90.00 and 90.00 degrees. Symmetry generates all atoms from Ba at (0.0000, 0.0000, 0.0000), Hf at (0.5000, 0.5000, 0.5000) and Ga at (0.0000, 0.0000, 0.5000).